DFT (PBE-GGA) results for a relaxed TiZnGa4 crystal.

Values from the calculation:
The calculation puts the magnetization at 0.0 μB per formula unit. The space group is P4/mmm, No. 123. The value obtained for the electronic total energy is -3.643 eV/atom. For the calculated formation energy, the calculation gives -0.097 eV per atom.

a = 3.4520 Å, b = 3.4520 Å, c = 8.4089 Å
α = 90.00°, β = 90.00°, γ = 90.00°
Element x y z (fractional)
Ti: 0.0000 0.0000 0.0000
Zn: 0.5000 0.5000 0.5000
Ga: 0.0000 0.0000 0.3328
Ga: 0.0000 0.0000 0.6672
Ga: 0.5000 0.5000 0.1702
Ga: 0.5000 0.5000 0.8298